Density functional theory data (GGA-PBEsol) for an optimized crystal structure of FeSbI2Br.

Unit cell a=5.724 b=5.724 c=5.526 alpha=90.00 beta=90.00 gamma=90.00
Site moments in Bohr magnetons follow the coordinates.
Atoms (fractional coordinates):
Fe 0.500 0.500 0.500  3.49
I 0.500 0.000 0.000  0.06
I 0.000 0.500 0.000  0.06
Sb 0.000 0.000 0.500  0.05
Br 0.000 0.000 0.000  0.00

The space-group type is No. 123. For the total energy, the calculation gives -12.5 eV/cell. The volume comes out at 181.1 Å³ per cell. As for the raw formation energy: 1.289 eV/atom.